A geometry-optimized CsHg10Pb2 structure, computed with PBE-GGA.

Cell lengths 6.872, 8.517, 8.156 Å; angles 80.22, 65.09, 66.21 degrees
Positions (direct):
Hg: 0.715 0.791 0.779
Hg: 0.506 0.209 0.779
Hg: 0.285 0.209 0.221
Hg: 0.000 0.000 0.500
Cs: 0.000 0.000 0.000
Hg: 0.494 0.791 0.221
Pb: 0.000 0.500 0.000
Hg: 0.997 0.647 0.359
Hg: 0.644 0.353 0.359
Hg: 0.500 0.000 0.500
Pb: 0.500 0.500 0.000
Hg: 0.356 0.647 0.641
Hg: 0.003 0.353 0.641

## Properties
Its symmetry is Fmmm (69). As for the density of states at the Fermi level: 0.49 states/eV per atom. The value obtained for the formation energy from the elements is -35 meV per atom.

=====

A geometry-optimized LiMnV3 structure, computed with PBE-GGA.

Cell lengths 4.340, 4.340, 4.340 Å; angles 90.00, 90.00, 90.00 degrees
Positions (direct):
V: 0.000 0.000 0.500
Mn: 0.000 0.000 0.000
V: 0.000 0.500 0.000
V: 0.500 0.000 0.000
Li: 0.500 0.500 0.500

## Properties
The polymorph energy (0 for the lowest one) is 0 meV per atom. Its symmetry is Pm-3m (221). As for the density of states at the Fermi level: 0.79 states/eV per atom. The value obtained for the formation energy from the elements is 784 meV per atom.